# 1
Hf3AlCr | PBE | relaxed

```
data_Hf3AlCr
_cell_length_a 4.7811
_cell_length_b 4.7811
_cell_length_c 4.7811
_cell_angle_alpha 90.00
_cell_angle_beta 90.00
_cell_angle_gamma 90.00
_symmetry_space_group_name_H-M 'P m -3 m'
_symmetry_Int_Tables_number 221
_symmetry_space_group_name_Hall '-P 4 2 3'
loop_
_atom_site_label
_atom_site_type_symbol
_atom_site_fract_x
_atom_site_fract_y
_atom_site_fract_z
_atom_site_occupancy
Hf1 Hf 0.0000 0.0000 0.5000 1
Al1 Al 0.5000 0.5000 0.5000 1
Cr1 Cr 0.0000 0.0000 0.0000 1
```

As for the total DFT energy (no corrections): -8.07 eV per atom. Its energy above the most stable polymorph in this dataset is 0 meV per atom. As for the energy of formation: 2.87 eV/f.u. For the magnetic moment, the calculation gives 0.00 μB/cell. The density of states at the Fermi level comes out at 2.018 states/eV/atom.


# 2
NpUCoNi | PBE | relaxed

```
data_NpUCoNi
_cell_length_a 6.2501
_cell_length_b 6.2501
_cell_length_c 6.2501
_cell_angle_alpha 90.00
_cell_angle_beta 90.00
_cell_angle_gamma 90.00
_symmetry_space_group_name_H-M 'F -4 3 m'
_symmetry_Int_Tables_number 216
_symmetry_space_group_name_Hall 'F -4 2 3'
loop_
_atom_site_label
_atom_site_type_symbol
_atom_site_fract_x
_atom_site_fract_y
_atom_site_fract_z
_atom_site_occupancy
Np1 Np 0.0000 0.0000 0.0000 1
U1 U 0.2500 0.2500 0.2500 1
Co1 Co 0.0000 0.0000 0.5000 1
Ni1 Ni 0.2500 0.2500 0.7500 1
```

As for the total DFT energy (no corrections): -9.53 eV per atom. As for the energy of formation: -0.99 eV/f.u. For the magnetic moment, the calculation gives 15.00 μB/cell. The density of states at the Fermi level comes out at 0.971 states/eV/atom.


# 3
La2Sn3BiRh4 | PBE | relaxed

```
data_La2Sn3BiRh4
_cell_length_a 4.5554
_cell_length_b 4.5554
_cell_length_c 10.9205
_cell_angle_alpha 90.00
_cell_angle_beta 90.00
_cell_angle_gamma 90.00
_symmetry_space_group_name_H-M 'P -4 m 2'
_symmetry_Int_Tables_number 115
loop_
_symmetry_equiv_pos_as_xyz
'x,y,z'
'y,-x,-z'
'-x,-y,z'
'-y,x,-z'
'-x,y,z'
'-y,-x,-z'
'x,-y,z'
'y,x,-z'
loop_
_atom_site_label
_atom_site_type_symbol
_atom_site_fract_x
_atom_site_fract_y
_atom_site_fract_z
_atom_site_occupancy
La1 La 0.0000 0.5000 0.2463 1
Sn1 Sn 0.0000 0.5000 0.8743 1
Sn2 Sn 0.5000 0.5000 0.5000 1
Bi1 Bi 0.0000 0.0000 0.5000 1
Rh1 Rh 0.0000 0.0000 0.0000 1
Rh2 Rh 0.0000 0.5000 0.6366 1
Rh3 Rh 0.5000 0.5000 0.0000 1
```

As for the total DFT energy (no corrections): -6.21 eV per atom. As for the energy of formation: -6.95 eV/f.u. For the magnetic moment, the calculation gives 0.00 μB/cell. The density of states at the Fermi level comes out at 0.553 states/eV/atom.


# 4
HoSc3Ga4 | PBE | relaxed

```
data_HoSc3Ga4
_cell_length_a 9.6547
_cell_length_b 6.7951
_cell_length_c 4.8271
_cell_angle_alpha 90.00
_cell_angle_beta 90.00
_cell_angle_gamma 90.00
_symmetry_space_group_name_H-M 'P m m a'
_symmetry_Int_Tables_number 51
loop_
_symmetry_equiv_pos_as_xyz
'x,y,z'
'-x,-y,-z'
'-x+1/2,-y,z'
'x+1/2,y,-z'
'x+1/2,-y,-z'
'-x+1/2,y,z'
'-x,y,-z'
'x,-y,z'
loop_
_atom_site_label
_atom_site_type_symbol
_atom_site_fract_x
_atom_site_fract_y
_atom_site_fract_z
_atom_site_occupancy
Ho1 Ho 0.0000 0.0000 0.0000 1
Sc1 Sc 0.0000 0.5000 0.0000 1
Sc2 Sc 0.2500 0.0000 0.4990 1
Sc3 Sc 0.2500 0.5000 0.4986 1
Ga1 Ga 0.0000 0.2606 0.5000 1
Ga2 Ga 0.2500 0.2606 0.9985 1
```

As for the total DFT energy (no corrections): -5.04 eV per atom. As for the energy of formation: -4.65 eV/f.u. For the magnetic moment, the calculation gives 0.00 μB/cell. The density of states at the Fermi level comes out at 0.411 states/eV/atom.


# 5
Rb3Pu2ScSe6 | PBE | relaxed

```
data_Rb3Pu2ScSe6
_cell_length_a 7.3211
_cell_length_b 12.6806
_cell_length_c 8.3186
_cell_angle_alpha 90.00
_cell_angle_beta 107.08
_cell_angle_gamma 90.00
_symmetry_space_group_name_H-M 'C 1 2/m 1'
_symmetry_Int_Tables_number 12
loop_
_symmetry_equiv_pos_as_xyz
'x,y,z'
'-x,-y,-z'
'-x,y,-z'
'x,-y,z'
'x+1/2,y+1/2,z'
'-x+1/2,-y+1/2,-z'
'-x+1/2,y+1/2,-z'
'x+1/2,-y+1/2,z'
loop_
_atom_site_label
_atom_site_type_symbol
_atom_site_fract_x
_atom_site_fract_y
_atom_site_fract_z
_atom_site_occupancy
Rb1 Rb 0.0000 0.0000 0.0000 1
Rb2 Rb 0.0000 0.3311 0.0000 1
Pu1 Pu 0.0000 0.1664 0.5000 1
Sc1 Sc 0.0000 0.5000 0.5000 1
Se1 Se 0.2239 0.3400 0.6916 1
Se2 Se 0.2445 0.0000 0.6924 1
```

As for the total DFT energy (no corrections): -6.38 eV per atom. For the magnetic moment, the calculation gives 20.00 μB/cell. The density of states at the Fermi level comes out at 1.908 states/eV/atom.


# 6
Pr3SmTm4 | PBE | relaxed

```
data_Pr3SmTm4
_cell_length_a 11.5090
_cell_length_b 7.3196
_cell_length_c 6.2793
_cell_angle_alpha 90.00
_cell_angle_beta 90.00
_cell_angle_gamma 90.00
_symmetry_space_group_name_H-M 'P m n 21'
_symmetry_Int_Tables_number 31
loop_
_symmetry_equiv_pos_as_xyz
'x,y,z'
'-x+1/2,-y,z+1/2'
'-x,y,z'
'x+1/2,-y,z+1/2'
loop_
_atom_site_label
_atom_site_type_symbol
_atom_site_fract_x
_atom_site_fract_y
_atom_site_fract_z
_atom_site_occupancy
Pr1 Pr 0.0000 0.1290 0.0000 1
Pr2 Pr 0.2490 0.1289 0.3404 1
Sm1 Sm 0.0000 0.8687 0.5020 1
Tm1 Tm 0.0000 0.3817 0.5032 1
Tm2 Tm 0.0000 0.6198 0.0052 1
Tm3 Tm 0.2494 0.6188 0.3372 1
```

As for the total DFT energy (no corrections): -4.59 eV per atom. Its energy above the most stable polymorph in this dataset is 5 meV per atom. As for the energy of formation: 0.24 eV/f.u. For the magnetic moment, the calculation gives 0.00 μB/cell. The density of states at the Fermi level comes out at 1.849 states/eV/atom.


# 7
Ho2AlCu2Rh5 | PBE | relaxed

```
data_Ho2AlCu2Rh5
_cell_length_a 9.3284
_cell_length_b 9.3284
_cell_length_c 3.7245
_cell_angle_alpha 90.00
_cell_angle_beta 90.00
_cell_angle_gamma 90.00
_symmetry_space_group_name_H-M 'P 4/m b m'
_symmetry_Int_Tables_number 127
_symmetry_space_group_name_Hall '-P 4 2ab'
loop_
_atom_site_label
_atom_site_type_symbol
_atom_site_fract_x
_atom_site_fract_y
_atom_site_fract_z
_atom_site_occupancy
Ho1 Ho 0.1730 0.3270 0.0000 1
Al1 Al 0.0000 0.0000 0.0000 1
Cu1 Cu 0.1251 0.6251 0.0000 1
Rh1 Rh 0.0000 0.5000 0.5000 1
Rh2 Rh 0.0673 0.8009 0.5000 1
```

As for the total DFT energy (no corrections): -6.34 eV per atom. As for the energy of formation: -5.56 eV/f.u. For the magnetic moment, the calculation gives 0.00 μB/cell. The density of states at the Fermi level comes out at 1.000 states/eV/atom.


# 8
AcLa7Tl3 | PBE | relaxed

```
data_AcLa7Tl3
_cell_length_a 11.5298
_cell_length_b 12.3176
_cell_length_c 6.3455
_cell_angle_alpha 90.00
_cell_angle_beta 117.84
_cell_angle_gamma 90.00
_symmetry_space_group_name_H-M 'C 1 2/m 1'
_symmetry_Int_Tables_number 12
loop_
_symmetry_equiv_pos_as_xyz
'x,y,z'
'-x,-y,-z'
'-x,y,-z'
'x,-y,z'
'x+1/2,y+1/2,z'
'-x+1/2,-y+1/2,-z'
'-x+1/2,y+1/2,-z'
'x+1/2,-y+1/2,z'
loop_
_atom_site_label
_atom_site_type_symbol
_atom_site_fract_x
_atom_site_fract_y
_atom_site_fract_z
_atom_site_occupancy
Ac1 Ac 0.0000 0.0000 0.0000 1
La1 La 0.0000 0.0000 0.5000 1
La2 La 0.1597 0.5000 0.6533 1
La3 La 0.1745 0.2797 0.1917 1
Tl1 Tl 0.0000 0.2629 0.5000 1
Tl2 Tl 0.0000 0.5000 0.0000 1
```

As for the total DFT energy (no corrections): -4.20 eV per atom. As for the energy of formation: -0.55 eV/f.u. For the magnetic moment, the calculation gives 0.32 μB/cell. The density of states at the Fermi level comes out at 1.428 states/eV/atom.


# 9
CaCeIn2 | PBE | relaxed

```
data_CaCeIn2
_cell_length_a 3.5674
_cell_length_b 3.5674
_cell_length_c 31.9587
_cell_angle_alpha 90.00
_cell_angle_beta 90.00
_cell_angle_gamma 120.00
_symmetry_space_group_name_H-M 'R -3 m'
_symmetry_Int_Tables_number 166
_symmetry_space_group_name_Hall '-R 3 2"'
loop_
_atom_site_label
_atom_site_type_symbol
_atom_site_fract_x
_atom_site_fract_y
_atom_site_fract_z
_atom_site_occupancy
Ca1 Ca 0.0000 0.0000 0.0000 1
Ce1 Ce 0.0000 0.0000 0.5000 1
In1 In 0.0000 0.0000 0.2514 1
```

As for the total DFT energy (no corrections): -3.56 eV per atom. As for the energy of formation: -0.85 eV/f.u. For the magnetic moment, the calculation gives 3.60 μB/cell. The density of states at the Fermi level comes out at 1.719 states/eV/atom.


# 10
TiRuAu2 | PBE | relaxed

```
data_TiRuAu2
_cell_length_a 3.7680
_cell_length_b 3.7680
_cell_length_c 19.7331
_cell_angle_alpha 90.00
_cell_angle_beta 90.00
_cell_angle_gamma 90.00
_symmetry_space_group_name_H-M 'I -4 2 d'
_symmetry_Int_Tables_number 122
_symmetry_space_group_name_Hall 'I -4 2bw'
loop_
_atom_site_label
_atom_site_type_symbol
_atom_site_fract_x
_atom_site_fract_y
_atom_site_fract_z
_atom_site_occupancy
Ti1 Ti 0.0000 0.0000 0.0000 1
Ru1 Ru 0.0000 0.0000 0.5000 1
Au1 Au 0.2470 0.2500 0.6250 1
```

As for the total DFT energy (no corrections): -5.80 eV per atom. As for the energy of formation: 0.51 eV/f.u. For the magnetic moment, the calculation gives 0.00 μB/cell. The density of states at the Fermi level comes out at 0.691 states/eV/atom.


# 11
ErThIn6 | PBE | relaxed

```
data_ErThIn6
_cell_length_a 4.6852
_cell_length_b 4.6852
_cell_length_c 9.3567
_cell_angle_alpha 90.00
_cell_angle_beta 90.00
_cell_angle_gamma 90.00
_symmetry_space_group_name_H-M 'P 4/m m m'
_symmetry_Int_Tables_number 123
_symmetry_space_group_name_Hall '-P 4 2'
loop_
_atom_site_label
_atom_site_type_symbol
_atom_site_fract_x
_atom_site_fract_y
_atom_site_fract_z
_atom_site_occupancy
Er1 Er 0.0000 0.0000 0.0000 1
Th1 Th 0.0000 0.0000 0.5000 1
In1 In 0.0000 0.5000 0.2429 1
In2 In 0.5000 0.5000 0.0000 1
In3 In 0.5000 0.5000 0.5000 1
```

As for the total DFT energy (no corrections): -3.92 eV per atom. As for the energy of formation: -2.94 eV/f.u. For the magnetic moment, the calculation gives 0.00 μB/cell. The density of states at the Fermi level comes out at 0.379 states/eV/atom.


# 12
Nd2Sm5Y | PBE | relaxed

```
data_Nd2Sm5Y
_cell_length_a 5.6544
_cell_length_b 12.0125
_cell_length_c 16.4029
_cell_angle_alpha 90.00
_cell_angle_beta 90.00
_cell_angle_gamma 90.00
_symmetry_space_group_name_H-M 'C m c m'
_symmetry_Int_Tables_number 63
_symmetry_space_group_name_Hall '-C 2c 2'
loop_
_atom_site_label
_atom_site_type_symbol
_atom_site_fract_x
_atom_site_fract_y
_atom_site_fract_z
_atom_site_occupancy
Nd1 Nd 0.0000 0.2224 0.1291 1
Sm1 Sm 0.0000 0.0779 0.5909 1
Sm2 Sm 0.0000 0.3827 0.5516 1
Sm3 Sm 0.0000 0.4588 0.2500 1
Y1 Y 0.0000 0.2617 0.7500 1
```

As for the total DFT energy (no corrections): -4.82 eV per atom. Its energy above the most stable polymorph in this dataset is 118 meV per atom. As for the energy of formation: 1.05 eV/f.u. For the magnetic moment, the calculation gives 0.00 μB/cell. The density of states at the Fermi level comes out at 1.635 states/eV/atom.